No. 1
## LaAlRhN (PBE)

Data for an optimized crystal structure of LaAlRhN.

Output
Volume = 140 Å³ per cell
Energy relative to the elements, uncorrected = -1.0595 eV/atom
Crystal system = tetragonal
Calculated total energy = -7.1462 eV per atom

Unit cell a=4.0525 b=4.0525 c=8.5534 alpha=90.00 beta=90.00 gamma=90.00
Positions (direct):
1 La 0.2500 0.2500 0.1515
2 La 0.7500 0.7500 0.8485
3 Al 0.2500 0.2500 0.6572
4 Al 0.7500 0.7500 0.3428
5 Rh 0.2500 0.7500 0.5000
6 Rh 0.7500 0.2500 0.5000
7 N 0.2500 0.2500 0.8767
8 N 0.7500 0.7500 0.1233



No. 2
## LaCd2Os (PBE)

Data for an optimized crystal structure of LaCd2Os.

Output
Volume = 100 Å³ per cell
Crystal system = orthorhombic
Calculated total energy = -4.3159 eV per atom

Unit cell a=7.1756 b=7.1756 c=7.1756 alpha=153.67 beta=142.16 gamma=46.69
Positions (direct):
1 La 0.0000 0.0000 0.0000
2 Cd 0.3111 0.8111 0.5000
3 Cd 0.6533 0.6533 0.0000
4 Os 0.8280 0.3280 0.5000



No. 3
## ScTa2Re (PBE)

Data for an optimized crystal structure of ScTa2Re.

Output
Volume = 71 Å³ per cell
Crystal system = cubic
Energy above the most stable polymorph in this dataset = 142 meV per atom
Calculated total energy = -10.5744 eV per atom

Unit cell a=4.6406 b=4.6406 c=4.6406 alpha=60.00 beta=60.00 gamma=60.00
Positions (direct):
1 Sc 0.0000 0.0000 0.0000
2 Ta 0.2500 0.2500 0.2500
3 Ta 0.5000 0.5000 0.5000
4 Re 0.7500 0.7500 0.7500